Record 1
DFT (PBE-GGA) results for an optimized crystal structure of ZrZnIn2Sn.

Properties
- formation energy from the elements (eV per atom) = 0.6425

Cell and atoms, written as POSCAR:
```
ZrZnIn2Sn
1.0
5.5666 0.0000 0.0000
0.0000 5.5666 0.0000
0.0000 0.0000 5.2394
Zr Zn In Sn
1 1 2 1
Direct
0.0000 0.0000 0.0000
0.0000 0.0000 0.5000
0.0000 0.5000 0.0000
0.5000 0.0000 0.0000
0.5000 0.5000 0.5000
```


Record 2
DFT (PBE-GGA) results for an optimized crystal structure of CaLa2SnO.

Cell and atoms, written as POSCAR:
```
CaLa2SnO
1.0
5.0964 0.0000 0.0000
0.0000 5.0964 0.0000
0.0000 0.0000 4.8365
Ca La Sn O
1 2 1 1
Direct
0.0000 0.0000 0.0000
0.0000 0.5000 0.5000
0.5000 0.0000 0.5000
0.5000 0.5000 0.0000
0.0000 0.0000 0.5000
```


What magnetization values result from the calculations? In sequence: 0.00 0.00 μB/atom.
What E_tot values result from the calculations? In sequence: -16.1 -28.4 eV per cell.